# PBE Pm5DyTh3, relaxed
data_Pm5DyTh3
_symmetry_space_group_name_H-M 'P -1'
_symmetry_Int_Tables_number 2
_cell_length_a 6.276
_cell_length_b 8.833
_cell_length_c 11.397
_cell_angle_alpha 104.88
_cell_angle_beta 100.46
_cell_angle_gamma 90.42
loop_
_symmetry_equiv_pos_as_xyz
'x,y,z'
'-x,-y,-z'
loop_
_atom_site_label
_atom_site_type_symbol
_atom_site_fract_x
_atom_site_fract_y
_atom_site_fract_z
Pm1 Pm 0.055 0.055 0.164
Pm2 Pm 0.056 0.556 0.663
Pm3 Pm 0.279 0.277 0.836
Pm4 Pm 0.281 0.780 0.339
Pm5 Pm 0.389 0.387 0.164
Dy1 Dy 0.388 0.888 0.664
Th1 Th 0.166 0.165 0.500
Th2 Th 0.166 0.666 0.000
Th3 Th 0.500 0.000 0.000
Th4 Th 0.500 0.500 0.500
# Magnetization ... 0.000 μB per atom
# D(E_F) ... 26.95 states/eV/cell
# ΔE_f ... 0.065 eV/atom